Material: ZnAg2Au2
Method: DFT, PBE-GGA
State: optimized geometry

Summary:
Offset from the most stable computed form in meV/atom: 228
Total DFT energy (no corrections) in eV/f.u.: -12.83
Space-group type: I4/mmm (139)
Magnetic moment in μB per cell: 0.00
E_form in eV per atom: 0.1410

a = 7.5116 Å, b = 7.5116 Å, c = 7.5116 Å
α = 151.01°, β = 151.01°, γ = 41.46°
Last column: nearest neighbours and their distance in Å.
Fractional positions:
Zn 0.0000 0.0000 0.0000  8 Au 2.97
Ag 0.2500 0.7500 0.5000  4 Ag 2.66, 4 Au 2.88
Ag 0.7500 0.2500 0.5000  4 Ag 2.66, 4 Au 2.88
Au 0.4051 0.4051 0.0000  1 Au 2.67, 4 Ag 2.88, 4 Zn 2.97
Au 0.5949 0.5949 0.0000  1 Au 2.67, 4 Ag 2.88, 4 Zn 2.97